1.
ScCr2GaCo | PBE | optimized geometry

Output
- Energy relative to the elements: 5.89 eV per formula unit

Lattice parameters (Å, degrees): 4.582 4.991 4.582 90.00 90.00 90.00
Positions (direct):
Cr 0.500 0.000 0.000
Co 0.500 0.500 0.500
Ga 0.000 0.000 0.000
Cr 0.000 0.000 0.500
Sc 0.000 0.500 0.000



2.
CrGaCoTc | PBE | optimized geometry

Output
- Energy relative to the elements: -0.26 eV per formula unit

Lattice parameters (Å, degrees): 4.164 4.164 4.164 60.00 60.00 60.00
Positions (direct):
Co 0.000 0.000 0.000
Tc 0.500 0.500 0.500
Ga 0.250 0.250 0.250
Cr 0.750 0.750 0.750



3.
ZnCrGaCo2 | PBE | optimized geometry

Output
- Energy relative to the elements: 4.87 eV per formula unit

Lattice parameters (Å, degrees): 4.332 4.582 4.332 90.00 90.00 90.00
Positions (direct):
Cr 0.000 0.500 0.000
Zn 0.500 0.500 0.500
Ga 0.000 0.000 0.000
Co 0.500 0.000 0.000
Co 0.000 0.000 0.500



4.
Cr3CoGe | PBE | optimized geometry

Output
- Energy relative to the elements: 5.12 eV per formula unit

Lattice parameters (Å, degrees): 4.287 4.287 4.287 90.00 90.00 90.00
Positions (direct):
Ge 0.500 0.500 0.500
Co 0.000 0.000 0.000
Cr 0.000 0.500 0.000
Cr 0.500 0.000 0.000
Cr 0.000 0.000 0.500



5.
CrCo2Ge | PBE | optimized geometry

Output
- Energy relative to the elements: 1.63 eV per formula unit

Lattice parameters (Å, degrees): 3.589 3.589 8.318 77.54 77.54 90.00
Positions (direct):
Co 0.875 0.865 0.750
Ge 0.750 0.250 0.500
Co 0.375 0.385 0.750
Cr 0.250 0.750 0.500
Co 0.135 0.625 0.250
Ge 0.000 0.000 0.000
Cr 0.500 0.500 0.000
Co 0.615 0.125 0.250



6.
Cr3CoGe | PBE | optimized geometry

Output
- Energy relative to the elements: 7.24 eV per formula unit

Lattice parameters (Å, degrees): 4.621 4.621 4.621 90.00 90.00 90.00
Positions (direct):
Cr 0.000 0.000 0.500
Ge 0.000 0.000 0.000
Cr 0.500 0.000 0.000
Cr 0.000 0.500 0.000
Co 0.500 0.500 0.500



7.
CrCo2Ge | PBE | optimized geometry

Output
- Energy relative to the elements: 0.22 eV per formula unit

Lattice parameters (Å, degrees): 2.621 2.621 6.730 90.00 90.00 90.00
Positions (direct):
Ge 0.500 0.500 0.000
Co 0.000 0.000 0.747
Cr 0.500 0.500 0.500
Co 0.000 0.000 0.253



8.
CrCo2Ge | PBE | optimized geometry

Output
- Energy relative to the elements: -0.14 eV per formula unit

Lattice parameters (Å, degrees): 3.345 3.763 3.763 90.00 90.00 90.00
Positions (direct):
Ge 0.500 0.000 0.000
Cr 0.500 0.500 0.500
Co 0.000 0.000 0.500
Co 0.000 0.500 0.000



- The lowest energy relative to the elements belongs to which entry?
  CrGaCoTc



- The lowest energy relative to the elements belongs to which entry?
  CrGaCoTc



- The lowest energy relative to the elements belongs to which entry?
  CrGaCoTc